No. 1
Computed, not measured: an optimized crystal structure of Li7Fe5O12 at the GGA-PBEsol level of DFT.

Formation energy without anion corrections = -1.644 eV per atom
Calculated total energy = -161.03 eV for the cell shown
Space-group type = C2 (5)
Total moment = 13.15 Bohr magnetons per cell

POSCAR file:
```
Li7Fe5O12
1.0
2.4782 -4.2523 0.0000
2.4782 4.2523 0.0000
-1.7310 0.0000 9.1432
Li Fe O
7 5 12
direct
0.0000 0.0000 0.0000 Li
0.2361 0.2567 0.7588 Li
0.3313 0.6687 0.0000 Li
0.4142 0.0922 0.2440 Li
0.7433 0.7639 0.2412 Li
0.8124 0.1876 0.5000 Li
0.9078 0.5858 0.7560 Li
0.0945 0.4217 0.2409 Fe
0.1405 0.8595 0.5000 Fe
0.4810 0.5190 0.5000 Fe
0.5783 0.9055 0.7591 Fe
0.6562 0.3438 0.0000 Fe
0.0209 0.6756 0.1239 O
0.1274 0.1637 0.3753 O
0.2157 0.5808 0.6235 O
0.3244 0.9791 0.8761 O
0.3841 0.3807 0.1194 O
0.4192 0.7843 0.3765 O
0.4918 0.2129 0.6084 O
0.6193 0.6159 0.8806 O
0.7292 0.0909 0.1292 O
0.7871 0.5082 0.3916 O
0.8363 0.8726 0.6247 O
0.9091 0.2708 0.8708 O
```

No. 2
Computed, not measured: an optimized crystal structure of HgPt3 at the GGA-PBEsol level of DFT.

Energy relative to the elements = 0.019 eV/atom
Calculated total energy = -42.76 eV for the cell shown
Space-group type = Cmmm (65)
Total moment = 0.00 Bohr magnetons per cell

POSCAR file:
```
HgPt3
1.0
5.7822 0.0000 0.0000
0.0000 7.8442 0.0000
0.0000 0.0000 2.8225
Hg Pt
2 6
direct
0.0000 0.0000 0.0000 Hg
0.5000 0.5000 0.0000 Hg
0.0000 0.5000 0.0000 Pt
0.2500 0.2500 0.5000 Pt
0.2500 0.7500 0.5000 Pt
0.5000 0.0000 0.0000 Pt
0.7500 0.2500 0.5000 Pt
0.7500 0.7500 0.5000 Pt
```

No. 3
Computed, not measured: an optimized crystal structure of ErAl2 at the GGA-PBEsol level of DFT.

Energy relative to the elements = -0.519 eV/atom
Calculated total energy = -29.34 eV for the cell shown
Space-group type = Fd-3m (227)
Total moment = 0.00 Bohr magnetons per cell

POSCAR file:
```
ErAl2
1.0
0.0000 3.8726 3.8726
3.8726 0.0000 3.8726
3.8726 3.8726 0.0000
Er Al
2 4
direct
0.1250 0.1250 0.1250 Er
0.8750 0.8750 0.8750 Er
0.0000 0.5000 0.5000 Al
0.5000 0.0000 0.5000 Al
0.5000 0.5000 0.0000 Al
0.5000 0.5000 0.5000 Al
```